First-principles (PBE) data for an optimized crystal structure of K2CuSbPt, as listed in Alexandria.

The calculation puts the formation energy from raw total energies at 0.570 eV per atom.

It has space group P4/mmm (No. 123), with a = 6.696 Å, b = 6.696 Å, c = 4.713 Å, α = 90.00°, β = 90.00° and γ = 90.00°. The distinct sites, in fractional coordinates, are K at (0.000, 0.500, 0.000), Cu at (0.000, 0.000, 0.500), Sb at (0.000, 0.000, 0.000) and Pt at (0.500, 0.500, 0.500).



First-principles (PBE) data for an optimized crystal structure of HgIrO3, as listed in Alexandria.

The calculation puts the formation energy from raw total energies at 1.353 eV per atom.

It has space group Pm-3m (No. 221), with a = 4.130 Å, b = 4.130 Å, c = 4.130 Å, α = 90.00°, β = 90.00° and γ = 90.00°. The distinct sites, in fractional coordinates, are Hg at (0.000, 0.000, 0.000), Ir at (0.500, 0.500, 0.500) and O at (0.000, 0.000, 0.500).



First-principles (PBE) data for an optimized crystal structure of LiMn2W, as listed in Alexandria.

The calculation puts the formation energy at 0.35 eV per atom.

It has space group Cmmm (No. 65), with a = 2.984 Å, b = 4.326 Å, c = 8.770 Å, α = 90.00°, β = 90.00° and γ = 90.00°. The distinct sites, in fractional coordinates, are Li at (0.000, 0.000, 0.000), Mn at (0.000, 0.500, 0.259) and W at (0.000, 0.000, 0.500).



First-principles (PBE) data for an optimized crystal structure of Na3TbPu3S8, as listed in Alexandria.

The calculation puts the formation energy from raw total energies at -1.597 eV per atom.

It has space group R-3m (No. 166, hexagonal axes), with a = 8.0382 Å, b = 8.0382 Å, c = 19.9172 Å, α = 90.00°, β = 90.00° and γ = 120.00°. The distinct sites, in fractional coordinates, are Na at (0.0000, 0.5000, 0.0000), Tb at (0.0000, 0.0000, 0.5000), Pu at (0.0000, 0.5000, 0.5000), S at (0.0000, 0.0000, 0.2412) and S at (0.0016, 0.5008, 0.7599).



First-principles (PBE) data for an optimized crystal structure of Sc3NCl3, as listed in Alexandria.

The calculation puts the formation energy from raw total energies at -1.817 eV per atom.

It has space group R-3 (No. 148, hexagonal axes), with a = 5.9128 Å, b = 5.9128 Å, c = 28.6410 Å, α = 90.00°, β = 90.00° and γ = 120.00°. The distinct sites, in fractional coordinates, are Sc at (0.0000, 0.3524, 0.4576), N at (0.0000, 0.0000, 0.1667) and Cl at (0.0000, 0.3264, 0.6003).



First-principles (PBE) data for an optimized crystal structure of LiDyHo, as listed in Alexandria.

The calculation puts the formation energy at 0.07 eV per atom.

It has space group C2/m (No. 12), with a = 6.036 Å, b = 3.488 Å, c = 16.186 Å, α = 90.00°, β = 90.14° and γ = 90.00°. The distinct sites, in fractional coordinates, are Li at (0.167, 0.000, 0.070), Dy at (0.167, 0.000, 0.410) and Ho at (0.000, 0.500, 0.235).



First-principles (PBE) data for an optimized crystal structure of Pu2HgAu6, as listed in Alexandria.

The calculation puts the formation energy at -0.28 eV per atom.

It has space group C2/m (No. 12), with a = 8.071 Å, b = 8.695 Å, c = 5.653 Å, α = 90.00°, β = 93.09° and γ = 90.00°. The distinct sites, in fractional coordinates, are Pu at (0.148, 0.000, 0.289), Hg at (0.000, 0.500, 0.000), Au at (0.000, 0.336, 0.500) and Au at (0.208, 0.161, 0.796).



First-principles (PBE) data for an optimized crystal structure of Be2Ag2Sn, as listed in Alexandria.

The calculation puts the formation energy at 0.29 eV per atom.

It has space group P4/mbm (No. 127), with a = 6.406 Å, b = 6.406 Å, c = 3.852 Å, α = 90.00°, β = 90.00° and γ = 90.00°. The distinct sites, in fractional coordinates, are Be at (0.123, 0.377, 0.000), Ag at (0.156, 0.656, 0.500) and Sn at (0.000, 0.000, 0.000).



First-principles (PBE) data for an optimized crystal structure of LaI3, as listed in Alexandria.

The calculation puts the formation energy from raw total energies at -1.381 eV per atom.

It has space group I-42d (No. 122), with a = 11.283 Å, b = 11.283 Å, c = 6.367 Å, α = 90.00°, β = 90.00° and γ = 90.00°. The distinct sites, in fractional coordinates, are La at (0.000, 0.000, 0.000), I at (0.000, 0.000, 0.500) and I at (0.115, 0.250, 0.125).



First-principles (PBE) data for an optimized crystal structure of CsPmHgTe3, as listed in Alexandria.

The calculation puts the formation energy from raw total energies at -0.990 eV per atom.

It has space group P2_1/m (No. 11), with a = 10.112 Å, b = 4.631 Å, c = 11.284 Å, α = 90.00°, β = 110.26° and γ = 90.00°. The distinct sites, in fractional coordinates, are Cs at (0.225, 0.250, 0.256), Pm at (0.324, 0.750, 0.865), Hg at (0.089, 0.250, 0.621), Te at (0.107, 0.250, 0.875), Te at (0.220, 0.750, 0.550) and Te at (0.473, 0.750, 0.157).



First-principles (PBE) data for an optimized crystal structure of Hf6BiSb, as listed in Alexandria.

The calculation puts the formation energy from raw total energies at -0.134 eV per atom.

It has space group P-1 (No. 2), with a = 5.626 Å, b = 5.628 Å, c = 5.631 Å, α = 87.46°, β = 87.86° and γ = 87.98°. The distinct sites, in fractional coordinates, are Hf at (0.007, 0.248, 0.490), Hf at (0.248, 0.491, 0.009), Hf at (0.492, 0.010, 0.248), Bi at (0.500, 0.500, 0.500) and Sb at (0.000, 0.000, 0.000).



First-principles (PBE) data for an optimized crystal structure of Cd2In9Pb, as listed in Alexandria.

The calculation puts the formation energy at 0.03 eV per atom.

It has space group P4/mmm (No. 123), with a = 4.871 Å, b = 4.871 Å, c = 13.604 Å, α = 90.00°, β = 90.00° and γ = 90.00°. The distinct sites, in fractional coordinates, are Cd at (0.000, 0.000, 0.164), In at (0.000, 0.500, 0.000), In at (0.000, 0.500, 0.325), In at (0.500, 0.500, 0.161), In at (0.500, 0.500, 0.500) and Pb at (0.000, 0.000, 0.500).



First-principles (PBE) data for an optimized crystal structure of ThGa3CoPd, as listed in Alexandria.

The calculation puts the formation energy at -0.43 eV per atom.

It has space group Cmcm (No. 63), with a = 6.065 Å, b = 12.167 Å, c = 5.875 Å, α = 90.00°, β = 90.00° and γ = 90.00°. The distinct sites, in fractional coordinates, are Th at (0.000, 0.230, 0.250), Ga at (0.000, 0.365, 0.750), Ga at (0.215, 0.000, 0.000), Co at (0.000, 0.424, 0.250) and Pd at (0.000, 0.154, 0.750).



First-principles (PBE) data for an optimized crystal structure of PuMn2Fe, as listed in Alexandria.

The calculation puts the formation energy at 0.26 eV per atom.

It has space group R-3m (No. 166, hexagonal axes), with a = 4.3473 Å, b = 4.3473 Å, c = 11.0749 Å, α = 90.00°, β = 90.00° and γ = 120.00°. The distinct sites, in fractional coordinates, are Pu at (0.0000, 0.0000, 0.0000), Mn at (0.0000, 0.0000, 0.2009) and Fe at (0.0000, 0.0000, 0.5000).



First-principles (PBE) data for an optimized crystal structure of CrTcBr, as listed in Alexandria.

The calculation puts the formation energy from raw total energies at 0.863 eV per atom.

It has space group P3m1 (No. 156), with a = 4.1639 Å, b = 4.1639 Å, c = 2.9597 Å, α = 90.00°, β = 90.00° and γ = 120.00°. The distinct sites, in fractional coordinates, are Cr at (0.0000, 0.0000, 0.0000), Tc at (0.6667, 0.3333, 0.5096) and Br at (0.3333, 0.6667, 0.8633).



First-principles (PBE) data for an optimized crystal structure of Al2VGa, as listed in Alexandria.

The calculation puts the formation energy at -0.12 eV per atom.

It has space group P4/mmm (No. 123), with a = 3.964 Å, b = 3.964 Å, c = 3.784 Å, α = 90.00°, β = 90.00° and γ = 90.00°. The distinct sites, in fractional coordinates, are Al at (0.000, 0.500, 0.000), V at (0.000, 0.000, 0.500) and Ga at (0.500, 0.500, 0.500).



First-principles (PBE) data for an optimized crystal structure of Mg5Cd2Sn2, as listed in Alexandria.

The calculation puts the formation energy at -0.06 eV per atom.

It has space group Amm2 (No. 38), with a = 9.190 Å, b = 4.862 Å, c = 9.510 Å, α = 90.00°, β = 90.00° and γ = 90.00°. The distinct sites, in fractional coordinates, are Mg at (0.000, 0.000, 0.000), Mg at (0.171, 0.000, 0.317), Mg at (0.325, 0.000, 0.620), Cd at (0.329, 0.000, 0.943), Sn at (0.000, 0.000, 0.683) and Sn at (0.500, 0.000, 0.253).